The following is a DFT calculation (PBE) of an optimized crystal structure of LiBi2Te3.

Summary:
final energy: -3.4712 eV/atom
DOS(E_F): 5.38 states/eV/cell
formation energy (no corrections): -0.29 eV/atom

Cell lengths 6.540, 8.447, 8.447 Å; angles 105.14, 90.00, 90.00 degrees
Element x y z (fractional)
Li 0.536 0.162 0.162
Li 0.036 0.838 0.838
Te 0.485 0.169 0.502
Te 0.474 0.874 0.874
Te 0.985 0.831 0.498
Te 0.485 0.502 0.169
Te 0.974 0.126 0.126
Te 0.985 0.498 0.831
Bi 0.489 0.511 0.819
Bi 0.489 0.819 0.511
Bi 0.989 0.181 0.489
Bi 0.989 0.489 0.181